1.
# K2ZrMo PBE-GGA relaxed
data_K2ZrMo
_symmetry_space_group_name_H-M 'P 1'
_symmetry_Int_Tables_number 1
_symmetry_space_group_name_Hall 'P 1'
_cell_length_a 9.186
_cell_length_b 9.186
_cell_length_c 9.186
_cell_angle_alpha 93.98
_cell_angle_beta 93.98
_cell_angle_gamma 149.43
loop_
_atom_site_label
_atom_site_fract_x
_atom_site_fract_y
_atom_site_fract_z
K1 0.375 0.016 0.141
K2 0.766 0.625 0.641
K3 0.875 0.234 0.859
K4 0.984 0.125 0.359
Zr1 0.250 0.750 0.500
Zr2 0.500 0.500 0.000
Mo1 0.000 0.000 0.000
Mo2 0.750 0.250 0.500
# energy above the most stable polymorph in this dataset	293	kJ/mol of formula units
# symmetry	I-42d
# formation enthalpy at 0 K	140.72	kJ/mol of atoms



2.
# KRb3Na3 PBE-GGA relaxed
data_KRb3Na3
_symmetry_space_group_name_H-M 'P 1'
_symmetry_Int_Tables_number 1
_symmetry_space_group_name_Hall 'P 1'
_cell_length_a 12.372
_cell_length_b 6.790
_cell_length_c 12.408
_cell_angle_alpha 90.00
_cell_angle_beta 119.71
_cell_angle_gamma 90.00
loop_
_atom_site_label
_atom_site_fract_x
_atom_site_fract_y
_atom_site_fract_z
K1 0.167 0.250 0.332
K2 0.833 0.750 0.668
Rb1 0.078 0.250 0.662
Rb2 0.159 0.750 0.084
Rb3 0.413 0.750 0.575
Rb4 0.587 0.250 0.425
Rb5 0.841 0.250 0.916
Rb6 0.922 0.750 0.338
Na1 0.315 0.750 0.854
Na2 0.353 0.250 0.040
Na3 0.463 0.250 0.816
Na4 0.537 0.750 0.184
Na5 0.647 0.750 0.960
Na6 0.685 0.250 0.146
# energy above the most stable polymorph in this dataset	0	kJ/mol of formula units
# symmetry	P2_1/m
# formation enthalpy at 0 K	4.33	kJ/mol of atoms



3.
# Pr5Dy3S8 PBE-GGA relaxed
data_Pr5Dy3S8
_symmetry_space_group_name_H-M 'P 1'
_symmetry_Int_Tables_number 1
_symmetry_space_group_name_Hall 'P 1'
_cell_length_a 8.109
_cell_length_b 8.109
_cell_length_c 8.109
_cell_angle_alpha 59.32
_cell_angle_beta 59.32
_cell_angle_gamma 59.32
loop_
_atom_site_label
_atom_site_fract_x
_atom_site_fract_y
_atom_site_fract_z
Pr1 0.000 0.000 0.000
Pr2 0.000 0.500 0.500
Pr3 0.500 0.000 0.500
Pr4 0.500 0.500 0.000
Pr5 0.500 0.500 0.500
Dy1 0.000 0.000 0.500
Dy2 0.000 0.500 0.000
Dy3 0.500 0.000 0.000
S1 0.237 0.750 0.750
S2 0.243 0.243 0.243
S3 0.250 0.250 0.763
S4 0.250 0.763 0.250
S5 0.750 0.237 0.750
S6 0.750 0.750 0.237
S7 0.757 0.757 0.757
S8 0.763 0.250 0.250
# symmetry	R-3m



Number 1: DFT total energy -3.94 eV/atom, total moment 2.4 Bohr magnetons per cell. Number 2: DFT total energy -1.09 eV/atom, total moment 0.0 Bohr magnetons per cell. Number 3: DFT total energy -6.43 eV/atom, total moment 0.0 Bohr magnetons per cell.